[1]
## MnReRh2 (SCAN)

Data for a crystal of MnReRh2 relaxed with PBEsol.

abc: 2.6724 3.7648 5.2869
angles: 90.00 90.00 90.00
Last column: nearest neighbours and their distance in Å.
Fractional coordinates of all 4 atoms:
Mn 0.5000 0.5000 0.5000  2 Re 2.64, 8 Rh 2.65, 2 Mn 2.67
Rh 0.0000 0.0000 0.2522  4 Rh 2.62-2.67, 4 Mn 2.65, 4 Re 2.67
Rh 0.0000 0.0000 0.7477  4 Rh 2.62-2.67, 4 Mn 2.65, 4 Re 2.67
Re 0.5000 0.5000 0.0000  2 Mn 2.64, 8 Rh 2.67, 2 Re 2.67

Properties
SG: Pmmm
Excess energy over the best structure of this formula in the dataset in kJ/mol of atoms: 0.00
Volume in Å³/atom: 13.30
Density in g/cm3: 13.95
Fermi-level density of states in states/eV per atom: 0.68
Total magnetization in μB per atom: 0.793



[2]
## K2TlTc (SCAN)

Data for a crystal of K2TlTc relaxed with PBEsol.

abc: 5.3656 5.3656 5.3656
angles: 60.00 60.00 60.00
Last column: nearest neighbours and their distance in Å.
Fractional coordinates of all 4 atoms:
Tc 0.5000 0.5000 0.5000  4 Tl 3.29, 4 K 3.29
Tl 0.2500 0.2500 0.2500  4 K 3.29, 4 Tc 3.29
K 0.7500 0.7500 0.7500  4 K 3.29, 4 Tc 3.29
K 0.0000 0.0000 0.0000  4 K 3.29, 4 Tl 3.29

Properties
SG: F-43m
Excess energy over the best structure of this formula in the dataset in kJ/mol of atoms: 2.63
Volume in Å³/atom: 27.31
Density in g/cm3: 5.79
Fermi-level density of states in states/eV per atom: 0.64
Total magnetization in μB per atom: 0.960